1.
# LiCuPO4 | Alexandria | meta-GGA SCAN | PBEsol geometry
# * formation energy from raw total energies: -14.140 eV per formula unit
data_LiCuPO4
_symmetry_space_group_name_H-M 'P n m a'
_symmetry_Int_Tables_number 62
_cell_length_a 9.235
_cell_length_b 6.090
_cell_length_c 4.934
_cell_angle_alpha 90.00
_cell_angle_beta 90.00
_cell_angle_gamma 90.00
loop_
_symmetry_equiv_pos_as_xyz
'x,y,z'
'-x,-y,-z'
'-x+1/2,-y,z+1/2'
'x+1/2,y,-z+1/2'
'x+1/2,-y+1/2,-z+1/2'
'-x+1/2,y+1/2,z+1/2'
'-x,y+1/2,-z'
'x,-y+1/2,z'
loop_
_atom_site_label
_atom_site_type_symbol
_atom_site_fract_x
_atom_site_fract_y
_atom_site_fract_z
Li1 Li 0.000 0.000 0.000
Cu1 Cu 0.149 0.250 0.465
P1 P 0.190 0.750 0.466
O1 O 0.114 0.547 0.342
O2 O 0.147 0.250 0.889
O3 O 0.165 0.750 0.777


2.
# Y2PdAu2 | Alexandria | meta-GGA SCAN | PBEsol geometry
# * ΔH_f (0 K): -722.8 meV/atom
data_Y2PdAu2
_symmetry_space_group_name_H-M 'I 4/m m m'
_symmetry_Int_Tables_number 139
_symmetry_space_group_name_Hall '-I 4 2'
_cell_length_a 5.450
_cell_length_b 5.450
_cell_length_c 7.877
_cell_angle_alpha 90.00
_cell_angle_beta 90.00
_cell_angle_gamma 90.00
loop_
_atom_site_label
_atom_site_type_symbol
_atom_site_fract_x
_atom_site_fract_y
_atom_site_fract_z
Y1 Y 0.000 0.500 0.250
Pd1 Pd 0.000 0.000 0.000
Au1 Au 0.000 0.000 0.341


3.
# ScMoSe | Alexandria | meta-GGA SCAN | PBEsol geometry
# * formation energy from raw total energies: 1.121 eV per formula unit
data_ScMoSe
_symmetry_space_group_name_H-M 'F -4 3 m'
_symmetry_Int_Tables_number 216
_symmetry_space_group_name_Hall 'F -4 2 3'
_cell_length_a 6.100
_cell_length_b 6.100
_cell_length_c 6.100
_cell_angle_alpha 90.00
_cell_angle_beta 90.00
_cell_angle_gamma 90.00
loop_
_atom_site_label
_atom_site_type_symbol
_atom_site_fract_x
_atom_site_fract_y
_atom_site_fract_z
Sc1 Sc 0.000 0.000 0.000
Mo1 Mo 0.250 0.250 0.250
Se1 Se 0.000 0.000 0.500


4.
# SrYPt4 | Alexandria | meta-GGA SCAN | PBEsol geometry
# * ΔH_f (0 K): -1113.4 meV/atom
data_SrYPt4
_symmetry_space_group_name_H-M 'F -4 3 m'
_symmetry_Int_Tables_number 216
_symmetry_space_group_name_Hall 'F -4 2 3'
_cell_length_a 7.664
_cell_length_b 7.664
_cell_length_c 7.664
_cell_angle_alpha 90.00
_cell_angle_beta 90.00
_cell_angle_gamma 90.00
loop_
_atom_site_label
_atom_site_type_symbol
_atom_site_fract_x
_atom_site_fract_y
_atom_site_fract_z
Sr1 Sr 0.000 0.000 0.000
Y1 Y 0.250 0.250 0.250
Pt1 Pt 0.125 0.125 0.625


5.
# Rb2NaScBr6 | Alexandria | meta-GGA SCAN | PBEsol geometry
# * formation energy from raw total energies: -19.304 eV per formula unit
data_Rb2NaScBr6
_symmetry_space_group_name_H-M 'F m -3 m'
_symmetry_Int_Tables_number 225
_symmetry_space_group_name_Hall '-F 4 2 3'
_cell_length_a 10.896
_cell_length_b 10.896
_cell_length_c 10.896
_cell_angle_alpha 90.00
_cell_angle_beta 90.00
_cell_angle_gamma 90.00
loop_
_atom_site_label
_atom_site_type_symbol
_atom_site_fract_x
_atom_site_fract_y
_atom_site_fract_z
Rb1 Rb 0.250 0.250 0.250
Na1 Na 0.000 0.000 0.000
Sc1 Sc 0.000 0.000 0.500
Br1 Br 0.000 0.000 0.260


6.
# KY2As2 | Alexandria | meta-GGA SCAN | PBEsol geometry
# * ΔH_f (0 K): -1003.3 meV/atom
data_KY2As2
_symmetry_space_group_name_H-M 'I 4/m m m'
_symmetry_Int_Tables_number 139
_symmetry_space_group_name_Hall '-I 4 2'
_cell_length_a 4.965
_cell_length_b 4.965
_cell_length_c 13.588
_cell_angle_alpha 90.00
_cell_angle_beta 90.00
_cell_angle_gamma 90.00
loop_
_atom_site_label
_atom_site_type_symbol
_atom_site_fract_x
_atom_site_fract_y
_atom_site_fract_z
K1 K 0.000 0.000 0.000
Y1 Y 0.000 0.500 0.250
As1 As 0.000 0.000 0.348


7.
# Ni2OsSe | Alexandria | meta-GGA SCAN | PBEsol geometry
# * formation energy from raw total energies: 2.174 eV per formula unit
data_Ni2OsSe
_symmetry_space_group_name_H-M 'P 4/m m m'
_symmetry_Int_Tables_number 123
_symmetry_space_group_name_Hall '-P 4 2'
_cell_length_a 4.461
_cell_length_b 4.461
_cell_length_c 2.611
_cell_angle_alpha 90.00
_cell_angle_beta 90.00
_cell_angle_gamma 90.00
loop_
_atom_site_label
_atom_site_type_symbol
_atom_site_fract_x
_atom_site_fract_y
_atom_site_fract_z
Ni1 Ni 0.000 0.500 0.000
Os1 Os 0.000 0.000 0.500
Se1 Se 0.500 0.500 0.500


8.
# Li2PbAu2 | Alexandria | meta-GGA SCAN | PBEsol geometry
# * ΔH_f (0 K): -478.3 meV/atom
data_Li2PbAu2
_symmetry_space_group_name_H-M 'P 4/m b m'
_symmetry_Int_Tables_number 127
_symmetry_space_group_name_Hall '-P 4 2ab'
_cell_length_a 7.567
_cell_length_b 7.567
_cell_length_c 3.105
_cell_angle_alpha 90.00
_cell_angle_beta 90.00
_cell_angle_gamma 90.00
loop_
_atom_site_label
_atom_site_type_symbol
_atom_site_fract_x
_atom_site_fract_y
_atom_site_fract_z
Li1 Li 0.161 0.339 0.000
Pb1 Pb 0.000 0.000 0.500
Au1 Au 0.132 0.632 0.500


9.
# Cr2IrRh | Alexandria | meta-GGA SCAN | PBEsol geometry
# * ΔH_f (0 K): -164.6 meV/atom
data_Cr2IrRh
_symmetry_space_group_name_H-M 'P 4/m m m'
_symmetry_Int_Tables_number 123
_symmetry_space_group_name_Hall '-P 4 2'
_cell_length_a 3.713
_cell_length_b 3.713
_cell_length_c 3.640
_cell_angle_alpha 90.00
_cell_angle_beta 90.00
_cell_angle_gamma 90.00
loop_
_atom_site_label
_atom_site_type_symbol
_atom_site_fract_x
_atom_site_fract_y
_atom_site_fract_z
Cr1 Cr 0.000 0.500 0.000
Ir1 Ir 0.000 0.000 0.500
Rh1 Rh 0.500 0.500 0.500


10.
# ZnSiSe2 | Alexandria | meta-GGA SCAN | PBEsol geometry
# * formation energy from raw total energies: -0.352 eV per formula unit
data_ZnSiSe2
_symmetry_space_group_name_H-M 'R 3 m'
_symmetry_Int_Tables_number 160
_symmetry_space_group_name_Hall 'R 3 -2"'
_cell_length_a 3.5910
_cell_length_b 3.5910
_cell_length_c 21.7012
_cell_angle_alpha 90.00
_cell_angle_beta 90.00
_cell_angle_gamma 120.00
loop_
_atom_site_label
_atom_site_type_symbol
_atom_site_fract_x
_atom_site_fract_y
_atom_site_fract_z
Zn1 Zn 0.0000 0.0000 0.0000
Si1 Si 0.0000 0.0000 0.7536
Se1 Se 0.0000 0.0000 0.2778
Se2 Se 0.0000 0.0000 0.4844


11.
# SrSbRhI2 | Alexandria | meta-GGA SCAN | PBEsol geometry
# * formation energy from raw total energies: 2.911 eV per formula unit
data_SrSbRhI2
_symmetry_space_group_name_H-M 'P 4/m m m'
_symmetry_Int_Tables_number 123
_symmetry_space_group_name_Hall '-P 4 2'
_cell_length_a 6.087
_cell_length_b 6.087
_cell_length_c 6.352
_cell_angle_alpha 90.00
_cell_angle_beta 90.00
_cell_angle_gamma 90.00
loop_
_atom_site_label
_atom_site_type_symbol
_atom_site_fract_x
_atom_site_fract_y
_atom_site_fract_z
Sr1 Sr 0.000 0.000 0.000
Sb1 Sb 0.000 0.000 0.500
Rh1 Rh 0.500 0.500 0.500
I1 I 0.000 0.500 0.000


12.
# PtW3 | Alexandria | meta-GGA SCAN | PBEsol geometry
# * ΔH_f (0 K): 39.7 meV/atom
data_PtW3
_symmetry_space_group_name_H-M 'I m m 2'
_symmetry_Int_Tables_number 44
_cell_length_a 2.683
_cell_length_b 9.191
_cell_length_c 5.008
_cell_angle_alpha 90.00
_cell_angle_beta 90.00
_cell_angle_gamma 90.00
loop_
_symmetry_equiv_pos_as_xyz
'x,y,z'
'-x,-y,z'
'-x,y,z'
'x,-y,z'
'x+1/2,y+1/2,z+1/2'
'-x+1/2,-y+1/2,z+1/2'
'-x+1/2,y+1/2,z+1/2'
'x+1/2,-y+1/2,z+1/2'
loop_
_atom_site_label
_atom_site_type_symbol
_atom_site_fract_x
_atom_site_fract_y
_atom_site_fract_z
Pt1 Pt 0.000 0.000 0.000
W1 W 0.000 0.252 0.324
W2 W 0.000 0.500 0.009


13.
# YZr2BeGe | Alexandria | meta-GGA SCAN | PBEsol geometry
# * ΔH_f (0 K): 1641.7 meV/atom
data_YZr2BeGe
_symmetry_space_group_name_H-M 'P 4/m m m'
_symmetry_Int_Tables_number 123
_symmetry_space_group_name_Hall '-P 4 2'
_cell_length_a 5.015
_cell_length_b 5.015
_cell_length_c 5.146
_cell_angle_alpha 90.00
_cell_angle_beta 90.00
_cell_angle_gamma 90.00
loop_
_atom_site_label
_atom_site_type_symbol
_atom_site_fract_x
_atom_site_fract_y
_atom_site_fract_z
Y1 Y 0.000 0.000 0.000
Zr1 Zr 0.000 0.500 0.000
Be1 Be 0.500 0.500 0.500
Ge1 Ge 0.000 0.000 0.500


14.
# CsMgAu3 | Alexandria | meta-GGA SCAN | PBEsol geometry
# * ΔH_f (0 K): 1216.8 meV/atom
data_CsMgAu3
_symmetry_space_group_name_H-M 'P m -3 m'
_symmetry_Int_Tables_number 221
_symmetry_space_group_name_Hall '-P 4 2 3'
_cell_length_a 5.732
_cell_length_b 5.732
_cell_length_c 5.732
_cell_angle_alpha 90.00
_cell_angle_beta 90.00
_cell_angle_gamma 90.00
loop_
_atom_site_label
_atom_site_type_symbol
_atom_site_fract_x
_atom_site_fract_y
_atom_site_fract_z
Cs1 Cs 0.000 0.000 0.000
Mg1 Mg 0.500 0.500 0.500
Au1 Au 0.000 0.000 0.500


15.
# CsIn5S8 | Alexandria | meta-GGA SCAN | PBEsol geometry
# * formation energy from raw total energies: -11.608 eV per formula unit
data_CsIn5S8
_symmetry_space_group_name_H-M 'C 1 2/m 1'
_symmetry_Int_Tables_number 12
_cell_length_a 19.007
_cell_length_b 3.855
_cell_length_c 9.223
_cell_angle_alpha 90.00
_cell_angle_beta 101.87
_cell_angle_gamma 90.00
loop_
_symmetry_equiv_pos_as_xyz
'x,y,z'
'-x,-y,-z'
'-x,y,-z'
'x,-y,z'
'x+1/2,y+1/2,z'
'-x+1/2,-y+1/2,-z'
'-x+1/2,y+1/2,-z'
'x+1/2,-y+1/2,z'
loop_
_atom_site_label
_atom_site_type_symbol
_atom_site_fract_x
_atom_site_fract_y
_atom_site_fract_z
Cs1 Cs 0.000 0.000 0.000
In1 In 0.000 0.500 0.500
In2 In 0.151 0.000 0.432
In3 In 0.209 0.000 0.841
S1 S 0.078 0.500 0.301
S2 S 0.081 0.000 0.640
S3 S 0.166 0.500 0.987
S4 S 0.233 0.500 0.650


16.
# LaNiRh2 | Alexandria | meta-GGA SCAN | PBEsol geometry
# * ΔH_f (0 K): -154.4 meV/atom
data_LaNiRh2
_symmetry_space_group_name_H-M 'I -4 m 2'
_symmetry_Int_Tables_number 119
_symmetry_space_group_name_Hall 'I -4 -2'
_cell_length_a 4.050
_cell_length_b 4.050
_cell_length_c 7.885
_cell_angle_alpha 90.00
_cell_angle_beta 90.00
_cell_angle_gamma 90.00
loop_
_atom_site_label
_atom_site_type_symbol
_atom_site_fract_x
_atom_site_fract_y
_atom_site_fract_z
La1 La 0.000 0.000 0.000
Ni1 Ni 0.000 0.500 0.250
Rh1 Rh 0.000 0.000 0.500
Rh2 Rh 0.000 0.500 0.750


17.
# AgTeMoI2 | Alexandria | meta-GGA SCAN | PBEsol geometry
# * formation energy from raw total energies: 2.513 eV per formula unit
data_AgTeMoI2
_symmetry_space_group_name_H-M 'P 4/m m m'
_symmetry_Int_Tables_number 123
_symmetry_space_group_name_Hall '-P 4 2'
_cell_length_a 5.548
_cell_length_b 5.548
_cell_length_c 5.142
_cell_angle_alpha 90.00
_cell_angle_beta 90.00
_cell_angle_gamma 90.00
loop_
_atom_site_label
_atom_site_type_symbol
_atom_site_fract_x
_atom_site_fract_y
_atom_site_fract_z
Ag1 Ag 0.000 0.000 0.000
Te1 Te 0.500 0.500 0.000
Mo1 Mo 0.500 0.500 0.500
I1 I 0.000 0.500 0.500


18.
# LiCu2Te2 | Alexandria | meta-GGA SCAN | PBEsol geometry
# * formation energy from raw total energies: -1.478 eV per formula unit
data_LiCu2Te2
_symmetry_space_group_name_H-M 'I 4/m m m'
_symmetry_Int_Tables_number 139
_symmetry_space_group_name_Hall '-I 4 2'
_cell_length_a 3.772
_cell_length_b 3.772
_cell_length_c 14.519
_cell_angle_alpha 90.00
_cell_angle_beta 90.00
_cell_angle_gamma 90.00
loop_
_atom_site_label
_atom_site_type_symbol
_atom_site_fract_x
_atom_site_fract_y
_atom_site_fract_z
Li1 Li 0.000 0.000 0.000
Cu1 Cu 0.000 0.500 0.250
Te1 Te 0.000 0.000 0.374


19.
# Cu2AgMo | Alexandria | meta-GGA SCAN | PBEsol geometry
# * ΔH_f (0 K): 211.5 meV/atom
data_Cu2AgMo
_symmetry_space_group_name_H-M 'P 4/m m m'
_symmetry_Int_Tables_number 123
_symmetry_space_group_name_Hall '-P 4 2'
_cell_length_a 2.643
_cell_length_b 2.643
_cell_length_c 7.797
_cell_angle_alpha 90.00
_cell_angle_beta 90.00
_cell_angle_gamma 90.00
loop_
_atom_site_label
_atom_site_type_symbol
_atom_site_fract_x
_atom_site_fract_y
_atom_site_fract_z
Cu1 Cu 0.000 0.000 0.247
Ag1 Ag 0.500 0.500 0.500
Mo1 Mo 0.500 0.500 0.000


20.
# Mg2AlZn | Alexandria | meta-GGA SCAN | PBEsol geometry
# * ΔH_f (0 K): -34.2 meV/atom
data_Mg2AlZn
_symmetry_space_group_name_H-M 'P 4/m m m'
_symmetry_Int_Tables_number 123
_symmetry_space_group_name_Hall '-P 4 2'
_cell_length_a 4.191
_cell_length_b 4.191
_cell_length_c 4.142
_cell_angle_alpha 90.00
_cell_angle_beta 90.00
_cell_angle_gamma 90.00
loop_
_atom_site_label
_atom_site_type_symbol
_atom_site_fract_x
_atom_site_fract_y
_atom_site_fract_z
Mg1 Mg 0.000 0.500 0.000
Al1 Al 0.000 0.000 0.500
Zn1 Zn 0.500 0.500 0.500